(1)
A plane-wave DFT calculation with PBE was carried out for a relaxed structure of CsCaAs.

Calculated formation energy (eV per atom): -0.64

abc: 8.5091 5.2357 12.5972
angles: 90.00 90.00 90.00
Last column: nearest neighbours and their distance in Å.
Space group Pnma (No. 62)
Unique sites:
Cs: 0.1117 0.2500 0.1250 [4 per cell]  4 As 3.64-4.01, 1 Ca 3.94
Ca: 0.0510 0.7500 0.4110 [4 per cell]  3 As 2.88-2.92
As: 0.1901 0.2500 0.4243 [4 per cell]  3 Ca 2.88-2.92

=====

(2)
A plane-wave DFT calculation with PBE was carried out for a relaxed structure of BaLi2As2.

Calculated formation energy (eV per atom): -0.82
Offset from the most stable computed form (eV per atom): 0.0407

abc: 4.6359 4.5279 11.0424
angles: 90.00 94.56 90.00
Last column: nearest neighbours and their distance in Å.
Space group P2_1/m (No. 11)
Unique sites:
Ba: 0.2054 0.2500 0.2699 [2 per cell]  7 As 3.39-3.62, 8 Li 3.40-3.64
Li: 0.2514 0.7500 0.5008 [2 per cell]  4 As 2.69-2.75
Li: 0.3327 0.2500 0.8748 [2 per cell]  5 As 2.60-2.91
As: 0.1392 0.7500 0.0128 [2 per cell]  4 Li 2.60-2.91, 2 As 2.61
As: 0.2736 0.2500 0.6327 [2 per cell]  5 Li 2.67-2.75

=====

(3)
A plane-wave DFT calculation with PBE was carried out for a relaxed structure of Sn3TeS2.

Offset from the most stable computed form (eV per atom): 0.0218
Formation energy without anion corrections (eV/atom): -0.30

abc: 11.8425 11.6990 6.3273
angles: 90.00 90.00 90.00
Last column: nearest neighbours and their distance in Å.
Space group Cmc2_1 (No. 36)
Unique sites:
Sn: 0.0000 0.1632 0.0000 [4 per cell]  2 S 2.63
Sn: 0.1772 0.3413 0.5630 [8 per cell]  2 S 2.62-2.69
Te: 0.0000 0.1668 0.4884 [4 per cell]  4 Sn 2.97-3.24
S: 0.1664 0.3119 0.9848 [8 per cell]  3 Sn 2.62-2.69

=====

(4)
A plane-wave DFT calculation with PBE was carried out for a relaxed structure of Cs4Tl3Au5.

Calculated formation energy (eV per atom): -0.15

abc: 16.6213 5.3168 11.8274
angles: 90.00 112.94 90.00
Last column: nearest neighbours and their distance in Å.
Space group C2/m (No. 12)
Unique sites:
Cs: 0.0541 0.0000 0.3633 [4 per cell]  7 Au 3.46-3.81
Cs: 0.2407 0.5000 0.2333 [4 per cell]  6 Au 3.52-3.87
Tl: 0.0000 0.0000 0.0000 [2 per cell]  2 Au 2.66
Tl: 0.1159 0.5000 0.8695 [4 per cell]  2 Au 2.90-2.94
Au: 0.0000 0.5000 0.0000 [2 per cell]  4 Tl 2.66-2.90
Au: 0.0844 0.5000 0.6072 [4 per cell]  2 Au 2.84-2.96, 1 Tl 2.94
Au: 0.2201 0.5000 0.5182 [4 per cell]  3 Au 2.84-2.93

=====

(5)
A plane-wave DFT calculation with PBE was carried out for a relaxed structure of Pm12Ge2Pb5.

Calculated formation energy (eV per atom): -0.33

abc: 17.6284 8.0716 9.9134
angles: 90.00 105.53 90.00
Last column: nearest neighbours and their distance in Å.
Space group C2/m (No. 12)
Unique sites:
Pm: 0.0056 0.0000 0.2346 [4 per cell]  2 Ge 2.97, 1 Pb 3.22
Pm: 0.0264 0.5000 0.8248 [4 per cell]  2 Ge 2.89, 1 Pb 3.13
Pm: 0.1419 0.2387 0.5623 [8 per cell]  4 Pb 3.20-3.30
Pm: 0.1684 0.2404 0.0960 [8 per cell]  1 Ge 2.87, 1 Pb 3.21
Ge: 0.0000 0.2324 0.0000 [4 per cell]  6 Pm 2.87-2.97
Pb: 0.0000 0.5000 0.5000 [2 per cell]  6 Pm 3.13-3.20
Pb: 0.1835 0.0000 0.8352 [4 per cell]  7 Pm 3.22-3.30
Pb: 0.2087 0.0000 0.3635 [4 per cell]  7 Pm 3.20-3.46

=====

(6)
A plane-wave DFT calculation with PBE was carried out for a relaxed structure of LiPrTm.

Calculated formation energy (eV per atom): 0.11
Offset from the most stable computed form (eV per atom): 0.0296

abc: 3.5187 3.5187 8.3885
angles: 90.00 90.00 120.00
Last column: nearest neighbours and their distance in Å.
Space group P3m1 (No. 156)
Unique sites:
Li: 0.0000 0.0000 0.0000 [1 per cell]  3 Tm 3.36, 3 Pr 3.49, 6 Li 3.52
Pr: 0.3333 0.6667 0.6614 [1 per cell]  3 Li 3.49, 3 Tm 3.51, 6 Pr 3.52
Tm: 0.6667 0.3333 0.3195 [1 per cell]  3 Li 3.36, 3 Pr 3.51, 6 Tm 3.52

=====

(7)
A plane-wave DFT calculation with PBE was carried out for a relaxed structure of SrCaTm4Se8.

Formation energy without anion corrections (eV/atom): -1.82

abc: 8.4540 8.4540 21.0396
angles: 90.00 90.00 120.00
Last column: nearest neighbours and their distance in Å.
Space group R3m (No. 160, hexagonal axes)
Unique sites:
Sr: 0.0000 0.0000 0.0000 [3 per cell]  4 Se 2.89-2.93
Ca: 0.0000 0.0000 0.6263 [3 per cell]  6 Se 2.91-3.01
Tm: 0.0000 0.0000 0.2478 [3 per cell]  4 Se 2.72-2.81
Tm: 0.1702 0.3404 0.4568 [9 per cell]  6 Se 2.77-2.96
Se: 0.0000 0.0000 0.3812 [3 per cell]  4 Tm 2.81-2.96
Se: 0.0000 0.0000 0.8609 [3 per cell]  3 Tm 2.81, 1 Sr 2.93
Se: 0.0336 0.5168 0.3836 [9 per cell]  2 Tm 2.77, 1 Sr 2.89, 1 Ca 2.91
Se: 0.1740 0.3480 0.2023 [9 per cell]  3 Tm 2.72-2.93, 1 Ca 3.01

=====

(8)
A plane-wave DFT calculation with PBE was carried out for a relaxed structure of BaMgBe2Br8.

Formation energy without anion corrections (eV/atom): -1.36

abc: 6.4216 6.4216 27.7799
angles: 90.00 90.00 120.00
Last column: nearest neighbours and their distance in Å.
Space group R-3 (No. 148, hexagonal axes)
Unique sites:
Ba: 0.0000 0.0000 0.0000 [3 per cell]  12 Br 3.69-3.71
Mg: 0.0000 0.0000 0.5000 [3 per cell]  6 Br 2.72
Be: 0.0000 0.0000 0.2476 [6 per cell]  4 Br 2.18-2.20
Br: 0.0000 0.0000 0.3262 [6 per cell]  1 Be 2.18
Br: 0.0031 0.3418 0.4418 [18 per cell]  1 Be 2.20

=====

(9)
A plane-wave DFT calculation with PBE was carried out for a relaxed structure of AlSb2Pt.

Formation energy without anion corrections (eV/atom): -0.17

abc: 3.4849 3.4849 25.7865
angles: 90.00 90.00 120.00
Last column: nearest neighbours and their distance in Å.
Space group R3m (No. 160, hexagonal axes)
Unique sites:
Al: 0.0000 0.0000 0.0000 [3 per cell]  3 Pt 2.54
Sb: 0.0000 0.0000 0.2435 [3 per cell]  3 Al 3.07
Sb: 0.0000 0.0000 0.4659 [3 per cell]  3 Pt 2.74
Pt: 0.0000 0.0000 0.7270 [3 per cell]  3 Al 2.54, 3 Sb 2.74